The following is a PBE-GGA calculation of an optimized crystal structure of ZrHgPdC2, from Alexandria.

POSCAR file:
```
ZrHgPdC2
1.0
4.126 0.000 0.000
0.000 4.126 0.000
0.000 0.000 5.716
Zr Hg Pd C
1 1 1 2
direct
0.000 0.000 0.000
0.000 0.000 0.500
0.500 0.500 0.000
0.000 0.500 0.500
0.500 0.000 0.500
```

Summary:
The formation energy comes out at 2.504 eV/atom. The calculation puts the density of states at the Fermi level at 4.34 states/eV/f.u. The crystal system is tetragonal. The calculation puts the raw total energy at -0.2936 Ry per atom.


The following is a PBE-GGA calculation of an optimized crystal structure of Zr2MoBr, from Alexandria.

POSCAR file:
```
Zr2MoBr
1.0
-2.280 2.280 3.855
2.280 -2.280 3.855
2.280 2.280 -3.855
Zr Mo Br
2 1 1
direct
0.250 0.750 0.500
0.750 0.250 0.500
0.000 0.000 0.000
0.500 0.500 0.000
```

Summary:
The calculation puts the density of states at the Fermi level at 3.44 states/eV/f.u. The uncorrected formation energy comes out at 0.301 eV/atom. The crystal system is tetragonal. The calculation puts the raw total energy at -0.5218 Ry per atom. The value obtained for the energy above the most stable polymorph in this dataset is 640 meV per atom.


The following is a PBE-GGA calculation of an optimized crystal structure of TlSn3S3, from Alexandria.

POSCAR file:
```
TlSn3S3
1.0
6.902 0.000 0.000
2.641 7.326 0.000
1.989 2.175 7.933
Tl Sn S
2 6 6
direct
0.172 0.327 0.175
0.828 0.673 0.825
0.040 0.789 0.401
0.296 0.879 0.924
0.372 0.468 0.743
0.628 0.532 0.257
0.704 0.121 0.076
0.960 0.211 0.599
0.038 0.236 0.885
0.291 0.438 0.456
0.383 0.888 0.210
0.617 0.112 0.790
0.709 0.562 0.544
0.962 0.764 0.115
```

Summary:
The calculation puts the density of states at the Fermi level at 1.20 states/eV/f.u. The uncorrected formation energy comes out at -0.309 eV/atom. The crystal system is triclinic. The calculation puts the raw total energy at -0.3037 Ry per atom. The value obtained for the energy above the most stable polymorph in this dataset is 0 meV per atom.


The following is a PBE-GGA calculation of an optimized crystal structure of MnGa2Re, from Alexandria.

POSCAR file:
```
MnGa2Re
1.0
-3.404 3.404 2.714
3.404 -3.404 2.714
3.404 3.404 -2.714
Mn Ga Re
2 4 2
direct
0.000 0.000 0.000
0.750 0.250 0.500
0.116 0.625 0.991
0.375 0.366 0.491
0.634 0.125 0.009
0.875 0.884 0.509
0.250 0.750 0.500
0.500 0.500 0.000
```

Summary:
The formation energy comes out at 0.481 eV/atom. The calculation puts the density of states at the Fermi level at 1.16 states/eV/f.u. The crystal system is tetragonal. The calculation puts the raw total energy at -0.4731 Ry per atom. The value obtained for the energy above the most stable polymorph in this dataset is 398 meV per atom.


Q: Which value of raw total energy does entry 1 give?
A: -0.2936 Ry per atom